The following is a GGA-PBE calculation of LiTi2S4 after structural relaxation, from Alexandria via LeMat-Bulk.

Values from the calculation:
- VASP energy (eV per formula unit) = -43.7
- E_form (uncorrected) (eV per atom) = -1.351
- offset from the most stable computed form (meV per atom) = 44
- V (Å³ per atom) = 18.746

a = 7.1865 Å, b = 7.1865 Å, c = 7.1865 Å
α = 60.00°, β = 60.00°, γ = 60.00°
Atoms (fractional coordinates):
Li 0.1250 0.1250 0.1250
Li 0.8750 0.8750 0.8750
Ti 0.0000 0.5000 0.5000
Ti 0.5000 0.0000 0.5000
Ti 0.5000 0.5000 0.0000
Ti 0.5000 0.5000 0.5000
S 0.2582 0.2582 0.2582
S 0.2582 0.2582 0.7254
S 0.2582 0.7254 0.2582
S 0.2746 0.7418 0.7418
S 0.7254 0.2582 0.2582
S 0.7418 0.2746 0.7418
S 0.7418 0.7418 0.2746
S 0.7418 0.7418 0.7418